First-principles (PBE) data for an optimized crystal structure of AlSbSe2, as listed in Alexandria via LeMat-Bulk.

Results
N(E_F): 0.3902 states/eV per atom
E_form (uncorrected): -0.7 eV per formula unit
excess energy over the best structure of this formula in the dataset: 308 meV per atom

Cell lengths 3.625, 5.121, 11.777 Å; angles 90.00, 90.00, 90.00 degrees
Space group Immm (No. 71)
Unique sites:
Al  0.000  0.000  0.000 (multiplicity 2)
Sb  0.000  0.000  0.500 (multiplicity 2)
Se  0.000  0.500  0.354 (multiplicity 4)